## SrH2PdS (PBE)

Data for SrH2PdS after structural relaxation.

Output
**Volume**: 15.38 Å³ per atom
**Density**: 4.93 g/cm3
**D(E_F)**: 0.98 states/eV per cell
**VASP energy**: -20.974 eV for the cell shown

Cell: 3.976 3.976 4.864 Å, 90.00 90.00 90.00°
Element x y z (fractional)
Sr  0.500  0.500  0.500
S  0.000  0.000  0.500
Pd  0.000  0.000  0.000
H  0.000  0.500  0.000
H  0.500  0.000  0.000

***

## TaH2PdS4 (PBE)

Data for TaH2PdS4 after structural relaxation.

Output
**Volume**: 23.56 Å³ per atom
**Density**: 3.68 g/cm3
**D(E_F)**: 0.78 states/eV per cell
**VASP energy**: -43.039 eV for the cell shown

Cell: 6.655 6.635 8.057 Å, 125.33 139.24 67.59°
Element x y z (fractional)
Ta  0.650  0.680  0.470
H  0.437  0.313  0.909
H  0.667  0.210  0.439
Pd  0.072  0.429  0.070
S  0.620  0.427  0.588
S  0.700  0.472  0.147
S  0.216  0.863  0.318
S  0.025  0.992  0.833

***

## Tl2HPdS2 (PBE)

Data for Tl2HPdS2 after structural relaxation.

Output
**Volume**: 20.53 Å³ per atom
**Density**: 7.82 g/cm3
**D(E_F)**: 7.76 states/eV per cell
**VASP energy**: -42.086 eV for the cell shown

Cell: 5.598 6.135 8.288 Å, 111.72 109.74 90.00°
Element x y z (fractional)
Tl  0.666  0.917  0.333
Tl  0.166  0.416  0.333
Tl  0.834  0.584  0.667
Tl  0.334  0.083  0.667
H  0.250  0.000  0.000
H  0.750  0.000  0.000
Pd  0.750  0.500  0.000
Pd  0.250  0.500  0.000
S  0.432  0.727  0.864
S  0.568  0.273  0.136
S  0.068  0.863  0.136
S  0.932  0.137  0.864

***

## ZrHPd2S (PBE)

Data for ZrHPd2S after structural relaxation.

Output
**Volume**: 15.17 Å³ per atom
**Density**: 7.38 g/cm3
**D(E_F)**: 2.94 states/eV per cell
**VASP energy**: -26.612 eV for the cell shown

Cell: 4.929 3.122 4.929 Å, 90.00 90.00 90.00°
Element x y z (fractional)
H  0.000  0.500  0.000
S  0.000  0.000  0.000
Zr  0.500  0.500  0.500
Pd  0.000  0.000  0.500
Pd  0.500  0.000  0.000

***

## Sb2H2Pd5 (PBE)

Data for Sb2H2Pd5 after structural relaxation.

Output
**Volume**: 14.82 Å³ per atom
**Density**: 9.68 g/cm3
**D(E_F)**: 7.79 states/eV per cell
**VASP energy**: -86.440 eV for the cell shown

Cell: 5.721 5.694 9.130 Å, 108.17 108.26 90.00°
Element x y z (fractional)
Sb  0.122  0.636  0.254
Sb  0.878  0.382  0.746
Sb  0.632  0.136  0.254
Sb  0.368  0.882  0.746
H  0.000  0.013  0.000
H  0.500  0.513  0.000
H  0.238  0.259  0.500
H  0.762  0.759  0.500
Pd  0.244  0.753  0.988
Pd  0.756  0.765  0.012
Pd  0.244  0.253  0.988
Pd  0.756  0.265  0.012
Pd  0.164  0.143  0.267
Pd  0.836  0.876  0.733
Pd  0.603  0.643  0.267
Pd  0.397  0.376  0.733
Pd  0.000  0.509  0.500
Pd  0.000  0.009  0.500

***

## SbHPd (PBE)

Data for SbHPd after structural relaxation.

Output
**Volume**: 18.84 Å³ per atom
**Density**: 6.73 g/cm3
**D(E_F)**: 1.28 states/eV per cell
**Offset from the most stable computed form**: 36 meV per atom
**VASP energy**: -25.058 eV for the cell shown

Cell: 3.596 4.352 8.530 Å, 70.44 90.00 114.40°
Element x y z (fractional)
Sb  0.753  0.505  0.256
Sb  0.247  0.495  0.744
Pd  0.397  0.795  0.389
Pd  0.603  0.205  0.611
H  0.839  0.679  0.036
H  0.161  0.321  0.964

***

## Sb3H2Pd7 (PBE)

Data for Sb3H2Pd7 after structural relaxation.

Output
**Volume**: 15.10 Å³ per atom
**Density**: 10.19 g/cm3
**D(E_F)**: 4.91 states/eV per cell
**VASP energy**: -58.761 eV for the cell shown

Cell: 3.610 4.308 11.851 Å, 100.47 90.00 90.00°
Element x y z (fractional)
Sb  0.500  0.500  0.000
Sb  0.500  0.688  0.377
Sb  0.500  0.312  0.623
H  0.000  0.916  0.832
H  0.000  0.084  0.168
Pd  0.000  0.414  0.827
Pd  0.000  0.789  0.578
Pd  0.000  0.000  0.000
Pd  0.000  0.586  0.173
Pd  0.500  0.112  0.224
Pd  0.500  0.888  0.776
Pd  0.000  0.211  0.422

***

## SbHPd2 (PBE)

Data for SbHPd2 after structural relaxation.

Output
**Volume**: 20.25 Å³ per atom
**Density**: 6.88 g/cm3
**D(E_F)**: 1.49 states/eV per cell
**Offset from the most stable computed form**: 199 meV per atom
**VASP energy**: -18.021 eV for the cell shown

Cell: 4.421 4.421 5.423 Å, 65.94 65.94 60.00°
Element x y z (fractional)
Sb  0.500  0.500  0.500
Pd  0.118  0.118  0.646
Pd  0.882  0.882  0.354
H  0.000  0.000  0.000